Computed, not measured: a geometry-optimized K2RuCl structure at the PBE-GGA level of DFT.

POSCAR file:
```
K2RuCl
1.0
-8.5629 -5.2661 -6.2252
8.1536 -5.4591 -6.5974
-0.1928 -7.0471 -5.0028
Ru K Cl
2 4 2
direct
0.0000 0.0000 0.0000 Ru
0.7500 0.2500 0.5000 Ru
0.3750 0.5661 0.7500 K
0.3161 0.6250 0.2500 K
0.4339 0.1250 0.2500 K
0.8750 0.6839 0.7500 K
0.5000 0.5000 0.0000 Cl
0.2500 0.7500 0.5000 Cl
```

* calculated total energy: -3.1941 eV/atom
* calculated volume: 38.37 Å³ per atom
* density: 2.3 g cm⁻³
* crystal system: tetragonal
* size of the total moment: 0.0 Bohr magnetons per cell
* ΔE_f (raw): 0.135 eV per atom